# 1
{
  "formula": "IrAuSe",
  "functional": "GGA-PBE",
  "state": "optimized geometry",
  "lattice_angstrom": [[5.281, 0.009, -0.026], [3.095, 4.279, 0.026], [-4.007, -2.497, 2.365]],
  "species": ["Au", "Se", "Ir"],
  "fractional_positions": [[0.994, 0.994, 0.000], [0.706, 0.706, 0.000], [0.300, 0.300, 0.000]],
  "density_g_cm3": 14.5,
  "magmom_total_mub_per_cell": 0.0,
  "e_form_raw_ev_per_atom": 0.365,
  "e_above_lowest_polymorph_ev_per_fu": 0.787
}


# 2
{
  "formula": "BaCeC2O6F",
  "functional": "GGA-PBE",
  "state": "optimized geometry",
  "lattice_angstrom": [[13.242, 0.004, 0.003], [12.247, 5.037, 0.003], [12.247, 2.422, 4.416]],
  "species": ["O", "O", "O", "O", "O", "O", "O", "O", "O", "O", "O", "O", "F", "F", "Ce", "Ce", "Ba", "Ba", "C", "C", "C", "C"],
  "fractional_positions": [[0.748, 0.748, 0.185], [0.815, 0.252, 0.252], [0.519, 0.519, 0.081], [0.185, 0.748, 0.748], [0.519, 0.081, 0.519], [0.081, 0.519, 0.519], [0.481, 0.481, 0.919], [0.252, 0.252, 0.815], [0.748, 0.185, 0.748], [0.481, 0.919, 0.481], [0.919, 0.481, 0.481], [0.252, 0.815, 0.252], [0.185, 0.185, 0.185], [0.815, 0.815, 0.815], [0.245, 0.245, 0.245], [0.755, 0.755, 0.755], [0.000, 0.000, 0.000], [0.500, 0.500, 0.500], [0.893, 0.893, 0.893], [0.374, 0.374, 0.374], [0.107, 0.107, 0.107], [0.626, 0.626, 0.626]],
  "density_g_cm3": 4.7,
  "magmom_total_mub_per_cell": 2.0,
  "e_form_raw_ev_per_atom": -2.446
}


# 3
{
  "formula": "K5Hg2Au",
  "functional": "GGA-PBE",
  "state": "optimized geometry",
  "lattice_angstrom": [[-5.838, -5.414, -4.079], [6.579, -5.824, -1.685], [-1.885, 1.823, 10.089]],
  "species": ["Hg", "Hg", "Hg", "Hg", "K", "K", "K", "K", "K", "K", "K", "K", "K", "K", "Au", "Au"],
  "fractional_positions": [[0.884, 0.616, 0.000], [0.616, 0.116, 0.000], [0.116, 0.384, 0.000], [0.384, 0.884, 0.000], [0.000, 0.000, 0.000], [0.028, 0.528, 0.701], [0.972, 0.472, 0.299], [0.327, 0.827, 0.299], [0.500, 0.500, 0.000], [0.472, 0.327, 0.299], [0.673, 0.173, 0.701], [0.173, 0.028, 0.701], [0.528, 0.673, 0.701], [0.827, 0.972, 0.299], [0.750, 0.750, 0.500], [0.250, 0.250, 0.500]],
  "density_g_cm3": 4.0,
  "magmom_total_mub_per_cell": 0.0,
  "formation_enthalpy_0k_kj_per_mol_atoms": -20.4
}


# 4
{
  "formula": "TiAgSbPd",
  "functional": "GGA-PBE",
  "state": "optimized geometry",
  "lattice_angstrom": [[4.665, 0.000, 0.000], [2.333, 4.040, 0.000], [2.333, 1.347, 3.809]],
  "species": ["Sb", "Ti", "Ag", "Pd"],
  "fractional_positions": [[0.000, 0.000, 0.000], [0.250, 0.250, 0.250], [0.500, 0.500, 0.500], [0.750, 0.750, 0.750]],
  "density_g_cm3": 8.9,
  "magmom_total_mub_per_cell": 0.5,
  "e_form_raw_ev_per_atom": -0.222
}


# 5
{
  "formula": "Be2Cl",
  "functional": "GGA-PBE",
  "state": "optimized geometry",
  "lattice_angstrom": [[3.913, -6.778, 0.000], [3.913, 6.778, 0.000], [0.000, 0.000, 2.769]],
  "species": ["Be", "Be", "Be", "Be", "Be", "Be", "Cl", "Cl", "Cl"],
  "fractional_positions": [[0.273, 0.000, 0.000], [0.491, 0.000, 0.500], [0.000, 0.273, 0.000], [0.727, 0.727, 0.000], [0.000, 0.491, 0.500], [0.509, 0.509, 0.500], [0.000, 0.000, 0.500], [0.667, 0.333, 0.000], [0.333, 0.667, 0.000]],
  "density_g_cm3": 1.8,
  "magmom_total_mub_per_cell": 0.0,
  "e_form_raw_ev_per_atom": 0.909,
  "e_above_lowest_polymorph_ev_per_fu": 3.723
}


# 6
{
  "formula": "TcRu2WCl",
  "functional": "GGA-PBE",
  "state": "optimized geometry",
  "lattice_angstrom": [[4.300, 0.000, 0.000], [0.000, 4.319, 0.000], [0.000, 0.000, 4.300]],
  "species": ["Ru", "Ru", "W", "Tc", "Cl"],
  "fractional_positions": [[0.000, 0.000, 0.500], [0.500, 0.000, 0.000], [0.500, 0.500, 0.500], [0.000, 0.500, 0.000], [0.000, 0.000, 0.000]],
  "density_g_cm3": 10.8,
  "magmom_total_mub_per_cell": 0.0,
  "e_form_raw_ev_per_atom": 1.361
}


# 7
{
  "formula": "Ti2Te3I",
  "functional": "GGA-PBE",
  "state": "optimized geometry",
  "lattice_angstrom": [[3.715, 0.000, 0.765], [1.766, 9.093, 0.826], [-0.272, -1.813, 10.724]],
  "species": ["Te", "Te", "Te", "Te", "Te", "Te", "I", "I", "Ti", "Ti", "Ti", "Ti"],
  "fractional_positions": [[0.683, 0.688, 0.945], [0.940, 0.923, 0.196], [0.190, 0.178, 0.443], [0.317, 0.312, 0.055], [0.810, 0.822, 0.557], [0.060, 0.077, 0.804], [0.565, 0.565, 0.304], [0.435, 0.435, 0.696], [0.628, 0.121, 0.623], [0.865, 0.384, 0.886], [0.135, 0.616, 0.114], [0.372, 0.879, 0.377]],
  "density_g_cm3": 5.5,
  "magmom_total_mub_per_cell": 0.9,
  "e_form_raw_ev_per_atom": -0.690
}


# 8
{
  "formula": "Y2MoBr",
  "functional": "GGA-PBE",
  "state": "optimized geometry",
  "lattice_angstrom": [[-3.988, 0.269, 4.931], [2.456, -5.391, 2.280], [3.648, 0.880, 6.988]],
  "species": ["Br", "Br", "Y", "Y", "Y", "Y", "Mo", "Mo"],
  "fractional_positions": [[0.500, 0.500, 0.000], [0.250, 0.750, 0.500], [0.875, 0.924, 0.750], [0.375, 0.326, 0.750], [0.674, 0.125, 0.250], [0.076, 0.625, 0.250], [0.750, 0.250, 0.500], [0.000, 0.000, 0.000]],
  "density_g_cm3": 4.5,
  "magmom_total_mub_per_cell": 1.9,
  "e_form_raw_ev_per_atom": 0.526,
  "e_above_lowest_polymorph_ev_per_fu": 3.447
}